The following is a PBE calculation of an optimized crystal structure of NbCu4Pd15, from Alexandria via LeMat-Bulk.

a = 3.911 Å, b = 3.911 Å, c = 19.498 Å
α = 90.00°, β = 90.00°, γ = 90.00°
Fractional coordinates of all 20 atoms:
Nb  0.000  0.000  0.000
Cu  0.000  0.000  0.204
Cu  0.000  0.000  0.401
Cu  0.000  0.000  0.599
Cu  0.000  0.000  0.796
Pd  0.500  0.500  0.000
Pd  0.500  0.500  0.202
Pd  0.500  0.500  0.402
Pd  0.500  0.500  0.598
Pd  0.500  0.500  0.798
Pd  0.500  0.000  0.101
Pd  0.500  0.000  0.302
Pd  0.500  0.000  0.500
Pd  0.500  0.000  0.698
Pd  0.500  0.000  0.899
Pd  0.000  0.500  0.101
Pd  0.000  0.500  0.302
Pd  0.000  0.500  0.500
Pd  0.000  0.500  0.698
Pd  0.000  0.500  0.899

## Properties
M_tot: 0.000 μB per atom
VASP energy: -5.3620 eV per atom
Symmetry: P4/mmm